BeB | PBE | relaxed

## Properties
Magnetization: 0.00 μB/cell
Polymorph energy (0 for the lowest one): 0.2502 eV per atom
Formation enthalpy at 0 K: 281 meV/atom
VASP energy: -78.7 eV per cell

```
BeB
1.0
5.653 0.000 0.000
0.000 5.653 0.000
0.000 0.000 5.653
Be B
8 8
Direct
0.205 0.205 0.205 Be
0.205 0.795 0.795 Be
0.295 0.295 0.705 Be
0.295 0.705 0.295 Be
0.705 0.295 0.295 Be
0.705 0.705 0.705 Be
0.795 0.205 0.795 Be
0.795 0.795 0.205 Be
0.108 0.108 0.892 B
0.108 0.892 0.108 B
0.392 0.392 0.392 B
0.392 0.608 0.608 B
0.608 0.392 0.608 B
0.608 0.608 0.392 B
0.892 0.108 0.108 B
0.892 0.892 0.892 B
```

=====

Zr2MoBr | PBE | relaxed

## Properties
Magnetization: 0.00 μB/cell
Polymorph energy (0 for the lowest one): 0.4585 eV per atom
Energy relative to the elements, uncorrected: 0.120 eV/atom
VASP energy: -58.2 eV per cell

```
Zr2MoBr
1.0
6.430 0.000 0.000
0.000 7.639 0.000
-0.544 0.000 3.226
Zr Mo Br
4 2 2
Direct
0.250 0.250 0.000 Zr
0.250 0.750 0.000 Zr
0.750 0.250 0.000 Zr
0.750 0.750 0.000 Zr
0.000 0.000 0.500 Mo
0.500 0.500 0.500 Mo
0.000 0.500 0.500 Br
0.500 0.000 0.500 Br
```

=====

NbTl2Fe | PBE | relaxed

## Properties
Magnetization: 0.00 μB/cell
Polymorph energy (0 for the lowest one): 0.0000 eV per atom
Formation enthalpy at 0 K: 860 meV/atom
VASP energy: -79.3 eV per cell

```
NbTl2Fe
1.0
6.693 0.000 0.000
0.000 6.693 0.000
0.000 0.000 6.693
Nb Tl Fe
4 8 4
Direct
0.000 0.000 0.000 Nb
0.000 0.500 0.500 Nb
0.500 0.000 0.500 Nb
0.500 0.500 0.000 Nb
0.250 0.250 0.250 Tl
0.250 0.250 0.750 Tl
0.250 0.750 0.250 Tl
0.250 0.750 0.750 Tl
0.750 0.250 0.250 Tl
0.750 0.250 0.750 Tl
0.750 0.750 0.250 Tl
0.750 0.750 0.750 Tl
0.000 0.000 0.500 Fe
0.000 0.500 0.000 Fe
0.500 0.000 0.000 Fe
0.500 0.500 0.500 Fe
```

=====

Cu3OsC | PBE | relaxed

## Properties
Magnetization: 1.38 μB/cell
Polymorph energy (0 for the lowest one): 0.0000 eV per atom
Formation enthalpy at 0 K: 941 meV/atom
VASP energy: -28.0 eV per cell

```
Cu3OsC
1.0
3.875 0.000 0.000
0.000 3.875 0.000
0.000 0.000 3.875
Cu Os C
3 1 1
Direct
0.000 0.000 0.500 Cu
0.000 0.500 0.000 Cu
0.500 0.000 0.000 Cu
0.500 0.500 0.500 Os
0.000 0.000 0.000 C
```

=====

Pm3CBr2 | PBE | relaxed

## Properties
Magnetization: 0.00 μB/cell
Energy relative to the elements, uncorrected: -0.846 eV/atom
VASP energy: -63.8 eV per cell

```
Pm3CBr2
1.0
3.883 -5.918 0.000
3.883 5.918 0.000
-2.151 0.000 6.286
Pm C Br
6 2 4
Direct
0.000 0.500 0.000 Pm
0.107 0.251 0.496 Pm
0.251 0.107 0.996 Pm
0.500 0.000 0.500 Pm
0.749 0.893 0.004 Pm
0.893 0.749 0.504 Pm
0.088 0.912 0.250 C
0.912 0.088 0.750 C
0.274 0.726 0.750 Br
0.430 0.570 0.250 Br
0.570 0.430 0.750 Br
0.726 0.274 0.250 Br
```

=====

KCrRu | PBE | relaxed

## Properties
Magnetization: 1.01 μB/cell
Polymorph energy (0 for the lowest one): 0.2666 eV per atom
Formation enthalpy at 0 K: 1021 meV/atom
VASP energy: -16.9 eV per cell

```
KCrRu
1.0
3.861 0.000 0.000
-1.931 3.344 0.000
0.000 0.000 5.941
K Cr Ru
1 1 1
Direct
0.000 0.000 0.000 K
0.333 0.667 0.481 Cr
0.667 0.333 0.523 Ru
```